1.
ZnTcOs2 | GGA-PBE | relaxed

Values from the calculation:
Energy of formation ... 0.2969 eV per atom
DOS at the Fermi energy ... 11.0 states/eV/cell

Cell lengths 3.805, 3.805, 7.916 Å; angles 90.00, 90.00, 90.00 degrees
Space group I4/mmm (No. 139)
Inequivalent atoms, fractional coordinates:
1 Zn 0.000 0.000 0.000 [2 per cell]
2 Tc 0.000 0.000 0.500 [2 per cell]
3 Os 0.000 0.500 0.250 [4 per cell]



2.
ZnTcOs2 | GGA-PBE | relaxed

Values from the calculation:
Energy of formation ... 0.1694 eV per atom
DOS at the Fermi energy ... 5.2 states/eV/cell

Cell lengths 2.744, 2.744, 7.647 Å; angles 90.00, 90.00, 90.00 degrees
Space group P4mm (No. 99)
Inequivalent atoms, fractional coordinates:
1 Zn 0.000 0.000 0.000 [1 per cell]
2 Tc 0.500 0.500 0.743 [1 per cell]
3 Os 0.000 0.000 0.493 [1 per cell]
4 Os 0.500 0.500 0.252 [1 per cell]



3.
ZnTcOs2 | GGA-PBE | relaxed

Values from the calculation:
Energy of formation ... 0.0785 eV per atom
DOS at the Fermi energy ... 12.9 states/eV/cell

Cell lengths 2.7450, 2.7450, 26.4872 Å; angles 90.00, 90.00, 120.00 degrees
Space group R-3m (No. 166, hexagonal axes)
Inequivalent atoms, fractional coordinates:
1 Zn 0.0000 0.0000 0.0000 [3 per cell]
2 Tc 0.0000 0.0000 0.5000 [3 per cell]
3 Os 0.0000 0.0000 0.2482 [6 per cell]



4.
ZnTcOs2 | GGA-PBE | relaxed

Values from the calculation:
Energy of formation ... 0.4117 eV per atom
DOS at the Fermi energy ... 7.8 states/eV/cell

Cell lengths 2.815, 4.596, 9.066 Å; angles 90.00, 90.00, 90.00 degrees
Space group Cmm2 (No. 35)
Inequivalent atoms, fractional coordinates:
1 Zn 0.000 0.000 0.000 [2 per cell]
2 Tc 0.000 0.500 0.252 [2 per cell]
3 Os 0.000 0.000 0.498 [2 per cell]
4 Os 0.000 0.500 0.751 [2 per cell]



5.
ZnTcOs2 | GGA-PBE | relaxed

Values from the calculation:
Energy of formation ... 0.1130 eV per atom
DOS at the Fermi energy ... 10.5 states/eV/cell

Cell lengths 2.7485, 2.7485, 26.4995 Å; angles 90.00, 90.00, 120.00 degrees
Space group R3m (No. 160, hexagonal axes)
Inequivalent atoms, fractional coordinates:
1 Zn 0.0000 0.0000 0.0000 [3 per cell]
2 Tc 0.0000 0.0000 0.2473 [3 per cell]
3 Os 0.0000 0.0000 0.5002 [3 per cell]
4 Os 0.0000 0.0000 0.7510 [3 per cell]



6.
ZnTcOs2 | GGA-PBE | relaxed

Values from the calculation:
Energy of formation ... 0.3770 eV per atom
DOS at the Fermi energy ... 6.8 states/eV/cell

Cell lengths 2.823, 4.603, 9.006 Å; angles 90.00, 90.00, 90.00 degrees
Space group Cmmm (No. 65)
Inequivalent atoms, fractional coordinates:
1 Zn 0.000 0.000 0.000 [2 per cell]
2 Tc 0.000 0.000 0.500 [2 per cell]
3 Os 0.000 0.500 0.251 [4 per cell]



7.
ZnTcOs3 | GGA-PBE | relaxed

Values from the calculation:
Energy of formation ... 2.1495 eV per atom
DOS at the Fermi energy ... 6.4 states/eV/cell

Cell lengths 4.394, 4.394, 4.394 Å; angles 90.00, 90.00, 90.00 degrees
Space group Pm-3m (No. 221)
Inequivalent atoms, fractional coordinates:
1 Zn 0.000 0.000 0.000 [1 per cell]
2 Tc 0.500 0.500 0.500 [1 per cell]
3 Os 0.000 0.000 0.500 [3 per cell]



8.
ZnTcOs2 | GGA-PBE | relaxed

Values from the calculation:
Energy of formation ... 0.4349 eV per atom
DOS at the Fermi energy ... 4.2 states/eV/cell

Cell lengths 4.466, 4.466, 2.894 Å; angles 90.00, 90.00, 90.00 degrees
Space group P4/mmm (No. 123)
Inequivalent atoms, fractional coordinates:
1 Zn 0.000 0.000 0.000 [1 per cell]
2 Tc 0.500 0.500 0.000 [1 per cell]
3 Os 0.000 0.500 0.500 [2 per cell]



9.
ZnTcOs3 | GGA-PBE | relaxed

Values from the calculation:
Energy of formation ... 2.1938 eV per atom
DOS at the Fermi energy ... 6.5 states/eV/cell

Cell lengths 4.662, 4.662, 4.662 Å; angles 90.00, 90.00, 90.00 degrees
Space group Pm-3m (No. 221)
Inequivalent atoms, fractional coordinates:
1 Zn 0.000 0.000 0.000 [1 per cell]
2 Tc 0.500 0.500 0.500 [1 per cell]
3 Os 0.000 0.500 0.500 [3 per cell]



10.
ZnTcOs2 | GGA-PBE | relaxed

Values from the calculation:
Energy of formation ... 0.2943 eV per atom
DOS at the Fermi energy ... 6.1 states/eV/cell

Cell lengths 2.973, 4.371, 8.749 Å; angles 90.00, 90.00, 90.00 degrees
Space group Imm2 (No. 44)
Inequivalent atoms, fractional coordinates:
1 Zn 0.000 0.000 0.000 [2 per cell]
2 Tc 0.000 0.500 0.744 [2 per cell]
3 Os 0.000 0.000 0.500 [2 per cell]
4 Os 0.000 0.500 0.258 [2 per cell]



11.
ZnTcOs2 | GGA-PBE | relaxed

Values from the calculation:
Energy of formation ... 0.4107 eV per atom
DOS at the Fermi energy ... 4.8 states/eV/cell

Cell lengths 2.818, 4.504, 4.562 Å; angles 90.00, 90.00, 90.00 degrees
Space group Pmmm (No. 47)
Inequivalent atoms, fractional coordinates:
1 Zn 0.000 0.000 0.000 [1 per cell]
2 Tc 0.500 0.000 0.500 [1 per cell]
3 Os 0.000 0.500 0.500 [1 per cell]
4 Os 0.500 0.500 0.000 [1 per cell]



12.
ZnTcOs2 | GGA-PBE | relaxed

Values from the calculation:
Energy of formation ... 0.2103 eV per atom
DOS at the Fermi energy ... 8.9 states/eV/cell

Cell lengths 9.101, 2.732, 4.696 Å; angles 90.00, 99.92, 90.00 degrees
Space group C2/m (No. 12)
Inequivalent atoms, fractional coordinates:
1 Zn 0.000 0.000 0.000 [2 per cell]
2 Tc 0.000 0.500 0.500 [2 per cell]
3 Os 0.242 0.000 0.749 [4 per cell]



| no. | raw total energy (eV/atom) |
| --- | --- |
| 1 | -8.23 |
| 2 | -8.36 |
| 3 | -8.45 |
| 4 | -8.11 |
| 5 | -8.41 |
| 6 | -8.15 |
| 7 | -6.92 |
| 8 | -8.09 |
| 9 | -6.87 |
| 10 | -8.23 |
| 11 | -8.11 |
| 12 | -8.31 |